# 1
A plane-wave DFT calculation with GGA-PBE was carried out for crystalline CrInRu2 at its relaxed geometry.

a = 4.457 Å, b = 4.457 Å, c = 4.457 Å
α = 60.00°, β = 60.00°, γ = 60.00°
Last column: magnetic moment on the atom in μB.
Element x y z (fractional)
Cr 0.500 0.500 0.500  2.82
In 0.750 0.750 0.750  0.00
Ru 0.000 0.000 0.000  -0.01
Ru 0.250 0.250 0.250  0.65

Computed properties:
Its energy of formation from the pure elements is 0.42 eV/atom. Its crystal system is cubic.

# 2
A plane-wave DFT calculation with GGA-PBE was carried out for crystalline Pr2Nd2Ir3 at its relaxed geometry.

a = 7.720 Å, b = 7.720 Å, c = 7.720 Å
α = 109.47°, β = 109.47°, γ = 109.47°
Element x y z (fractional)
Pr 0.500 0.374 0.500
Pr 0.000 0.000 0.374
Pr 0.626 0.126 0.126
Pr 0.874 0.500 0.000
Nd 0.000 0.000 0.876
Nd 0.500 0.876 0.500
Nd 0.124 0.624 0.624
Nd 0.376 0.500 0.000
Ir 0.750 0.630 0.380
Ir 0.250 0.870 0.120
Ir 0.620 0.750 0.870
Ir 0.880 0.250 0.630
Ir 0.370 0.120 0.750
Ir 0.130 0.380 0.250

Computed properties:
As for the polymorph energy (0 for the lowest one): 0 meV/atom. Its energy of formation from the pure elements is -0.57 eV/atom. Its crystal system is cubic.

# 3
A plane-wave DFT calculation with GGA-PBE was carried out for crystalline LiAg2F8 at its relaxed geometry.

a = 6.932 Å, b = 5.805 Å, c = 10.883 Å
α = 97.06°, β = 71.43°, γ = 53.34°
Element x y z (fractional)
Li 0.986 0.750 0.250
Li 0.014 0.250 0.750
Ag 0.760 0.993 0.996
Ag 0.251 0.493 0.496
Ag 0.749 0.507 0.504
Ag 0.240 0.007 0.004
F 0.336 0.787 0.596
F 0.220 0.863 0.156
F 0.755 0.847 0.148
F 0.158 0.213 0.407
F 0.245 0.153 0.852
F 0.778 0.287 0.093
F 0.842 0.787 0.593
F 0.249 0.347 0.648
F 0.222 0.713 0.907
F 0.719 0.713 0.904
F 0.761 0.363 0.656
F 0.239 0.637 0.344
F 0.281 0.287 0.096
F 0.751 0.653 0.352
F 0.664 0.213 0.404
F 0.780 0.137 0.844

Computed properties:
For the uncorrected formation energy, the calculation gives -121.05 kJ/mol of atoms. As for the polymorph energy (0 for the lowest one): 0 meV/atom. Its crystal system is monoclinic.

# 4
A plane-wave DFT calculation with GGA-PBE was carried out for crystalline Tb2LuPb at its relaxed geometry.

a = 4.882 Å, b = 4.818 Å, c = 4.818 Å
α = 90.00°, β = 90.00°, γ = 90.00°
Element x y z (fractional)
Pb 0.500 0.000 0.000
Lu 0.500 0.500 0.500
Tb 0.000 0.000 0.500
Tb 0.000 0.500 0.000

Computed properties:
As for the polymorph energy (0 for the lowest one): 0 meV/atom. Its energy of formation from the pure elements is -0.27 eV/atom. Its crystal system is tetragonal.

# 5
A plane-wave DFT calculation with GGA-PBE was carried out for crystalline Fe2RuPb at its relaxed geometry.

a = 8.649 Å, b = 8.649 Å, c = 8.649 Å
α = 20.18°, β = 20.18°, γ = 20.18°
Last column: magnetic moment on the atom in μB.
Element x y z (fractional)
Fe 0.011 0.011 0.011  2.73
Fe 0.489 0.489 0.489  2.73
Pb 0.250 0.250 0.250  -0.01
Ru 0.750 0.750 0.750  0.67

Computed properties:
Its energy of formation from the pure elements is 0.66 eV/atom. Its crystal system is trigonal.

# 6
A plane-wave DFT calculation with GGA-PBE was carried out for crystalline Na2TePtO4 at its relaxed geometry.

a = 5.324 Å, b = 5.324 Å, c = 5.324 Å
α = 105.28°, β = 111.61°, γ = 111.61°
Element x y z (fractional)
Na 0.500 0.750 0.250
Na 0.000 0.000 0.000
Te 0.000 0.500 0.500
Pt 0.500 0.250 0.750
O 0.638 0.526 0.563
O 0.036 0.112 0.474
O 0.964 0.437 0.076
O 0.362 0.924 0.888

Computed properties:
For the uncorrected formation energy, the calculation gives -92.62 kJ/mol of atoms. Its crystal system is tetragonal.

# 7
A plane-wave DFT calculation with GGA-PBE was carried out for crystalline LiNpH2 at its relaxed geometry.

a = 2.947 Å, b = 2.947 Å, c = 6.014 Å
α = 75.82°, β = 75.82°, γ = 60.00°
Last column: magnetic moment on the atom in μB.
Element x y z (fractional)
Np 0.500 0.500 0.500  3.54
H 0.735 0.735 0.794  -0.01
H 0.265 0.265 0.206  -0.01
Li 0.000 0.000 0.000  0.03

Computed properties:
As for the calculated total energy: -22.04 eV/cell. Its crystal system is trigonal.

# 8
A plane-wave DFT calculation with GGA-PBE was carried out for crystalline CsPrMnSe4 at its relaxed geometry.

a = 6.721 Å, b = 6.826 Å, c = 10.142 Å
α = 90.00°, β = 109.15°, γ = 90.00°
Last column: magnetic moment on the atom in μB.
Element x y z (fractional)
Cs 0.734 0.750 0.937  0.00
Cs 0.266 0.250 0.063  0.00
Pr 0.771 0.750 0.456  0.04
Pr 0.229 0.250 0.544  0.04
Mn 0.210 0.750 0.328  2.85
Mn 0.790 0.250 0.672  2.85
Se 0.029 0.509 0.710  -0.06
Se 0.971 0.009 0.290  -0.06
Se 0.971 0.491 0.290  -0.06
Se 0.029 0.991 0.710  -0.06
Se 0.409 0.750 0.182  -0.01
Se 0.591 0.250 0.818  -0.01
Se 0.391 0.750 0.565  -0.04
Se 0.609 0.250 0.435  -0.04

Computed properties:
For the uncorrected formation energy, the calculation gives -108.56 kJ/mol of atoms. Its crystal system is monoclinic.

# 9
A plane-wave DFT calculation with GGA-PBE was carried out for crystalline LiZrAlRh at its relaxed geometry.

a = 4.472 Å, b = 4.472 Å, c = 4.472 Å
α = 60.00°, β = 60.00°, γ = 60.00°
Element x y z (fractional)
Rh 0.500 0.500 0.500
Al 0.250 0.250 0.250
Zr 0.750 0.750 0.750
Li 0.000 0.000 0.000

Computed properties:
Its energy of formation from the pure elements is -0.64 eV/atom. Its crystal system is cubic.

# 10
A plane-wave DFT calculation with GGA-PBE was carried out for crystalline LiCa2SiF at its relaxed geometry.

a = 4.795 Å, b = 4.795 Å, c = 4.175 Å
α = 90.00°, β = 90.00°, γ = 90.00°
Element x y z (fractional)
Ca 0.000 0.500 0.000
Ca 0.500 0.000 0.000
Li 0.000 0.000 0.500
Si 0.500 0.500 0.500
F 0.000 0.000 0.000

Computed properties:
For the uncorrected formation energy, the calculation gives -130.03 kJ/mol of atoms. Its crystal system is tetragonal.

# 11
A plane-wave DFT calculation with GGA-PBE was carried out for crystalline KLiAgHg2 at its relaxed geometry.

a = 5.469 Å, b = 5.469 Å, c = 5.099 Å
α = 90.00°, β = 90.00°, γ = 90.00°
Element x y z (fractional)
K 0.500 0.500 0.500
Hg 0.000 0.500 0.000
Hg 0.500 0.000 0.000
Ag 0.000 0.000 0.000
Li 0.000 0.000 0.500

Computed properties:
As for the polymorph energy (0 for the lowest one): 6 meV/atom. Its energy of formation from the pure elements is -0.07 eV/atom. Its crystal system is tetragonal.

# 12
A plane-wave DFT calculation with GGA-PBE was carried out for crystalline Ba5Zn4Cd at its relaxed geometry.

a = 4.127 Å, b = 4.127 Å, c = 20.836 Å
α = 90.00°, β = 90.00°, γ = 90.00°
Element x y z (fractional)
Ba 0.500 0.500 0.107
Ba 0.500 0.500 0.303
Ba 0.500 0.500 0.500
Ba 0.500 0.500 0.697
Ba 0.500 0.500 0.893
Zn 0.000 0.000 0.205
Zn 0.000 0.000 0.402
Zn 0.000 0.000 0.598
Zn 0.000 0.000 0.795
Cd 0.000 0.000 0.000

Computed properties:
Its energy of formation from the pure elements is -0.19 eV/atom. Its crystal system is tetragonal.

Number 1 is which compound?
CrInRu2